Record 1
A plane-wave DFT calculation with GGA-PBE was carried out for a relaxed structure of PBrO. Values from VASP.

Computed properties:
Space-group type: Pm (6)
Raw total energy: -4.810 eV/atom
Raw formation energy: -796 meV per atom
Volume: 25.6 Å³ per atom

Geometry as Quantum ESPRESSO input:
```
&SYSTEM
  ibrav = 0, nat = 3, ntyp = 3
/
ATOMIC_SPECIES
P 30.97 P.upf
Br 79.90 Br.upf
O 16.00 O.upf
CELL_PARAMETERS angstrom
4.211 0.000 0.000
0.000 3.869 0.000
-0.390 0.000 4.721
ATOMIC_POSITIONS angstrom
P 0.000 0.000 0.000
Br 2.144 1.934 3.996
O -0.005 0.000 1.473
```

Record 2
A plane-wave DFT calculation with GGA-PBE was carried out for a relaxed structure of Cs2HgPdS. Values from VASP.

Computed properties:
Space-group type: P4/mmm (123)
Raw total energy: -2.740 eV/atom
Raw formation energy: -474 meV per atom
Volume: 42.1 Å³ per atom

Geometry as Quantum ESPRESSO input:
```
&SYSTEM
  ibrav = 0, nat = 5, ntyp = 4
/
ATOMIC_SPECIES
Cs 132.91 Cs.upf
Hg 200.59 Hg.upf
Pd 106.42 Pd.upf
S 32.06 S.upf
CELL_PARAMETERS angstrom
6.817 0.000 0.000
0.000 6.817 0.000
0.000 0.000 4.529
ATOMIC_POSITIONS angstrom
Cs 0.000 3.409 0.000
Cs 3.409 0.000 0.000
Hg 0.000 0.000 2.264
Pd 3.409 3.409 2.264
S 3.409 3.409 0.000
```